{
  "formula": "KSc2TaO",
  "functional": "SCAN",
  "state": "PBEsol geometry",
  "lattice": [[3.891, 0.000, 0.000], [0.000, 5.825, 0.000], [0.000, 0.000, 5.825]],
  "species": ["Sc", "Sc", "K", "O", "Ta"],
  "fractional_positions": [[0.000, 0.000, 0.500], [0.000, 0.500, 0.000], [0.500, 0.500, 0.500], [0.500, 0.000, 0.000], [0.000, 0.000, 0.000]],
  "sg": "P4/mmm, No. 123"
}

{
  "formula": "K3ScV2O8",
  "functional": "SCAN",
  "state": "PBEsol geometry",
  "lattice": [[5.745, 0.000, 0.000], [-2.873, 4.975, 0.000], [0.000, 0.000, 7.412]],
  "species": ["K", "K", "K", "Sc", "V", "V", "O", "O", "O", "O", "O", "O", "O", "O"],
  "fractional_positions": [[0.667, 0.333, 0.317], [0.333, 0.667, 0.683], [0.000, 0.000, 0.000], [0.000, 0.000, 0.500], [0.667, 0.333, 0.750], [0.333, 0.667, 0.250], [0.667, 0.333, 0.973], [0.333, 0.667, 0.027], [0.830, 0.660, 0.668], [0.170, 0.340, 0.332], [0.830, 0.170, 0.668], [0.170, 0.830, 0.332], [0.340, 0.170, 0.668], [0.660, 0.830, 0.332]],
  "sg": "P-3m1, No. 164"
}

{
  "formula": "KYSe2O6",
  "functional": "SCAN",
  "state": "PBEsol geometry",
  "lattice": [[-5.443, 1.797, 0.367], [-2.362, -5.929, -6.002], [-2.263, -8.814, 9.598]],
  "species": ["K", "K", "K", "K", "Y", "Y", "Y", "Y", "Se", "Se", "Se", "Se", "Se", "Se", "Se", "Se", "O", "O", "O", "O", "O", "O", "O", "O", "O", "O", "O", "O", "O", "O", "O", "O", "O", "O", "O", "O", "O", "O", "O", "O"],
  "fractional_positions": [[0.250, 0.996, 0.623], [0.250, 0.504, 0.123], [0.750, 0.004, 0.377], [0.750, 0.496, 0.877], [0.250, 0.807, 0.902], [0.250, 0.693, 0.402], [0.750, 0.193, 0.098], [0.750, 0.307, 0.598], [0.750, 0.010, 0.796], [0.750, 0.490, 0.296], [0.250, 0.990, 0.204], [0.250, 0.510, 0.704], [0.750, 0.717, 0.571], [0.750, 0.783, 0.071], [0.250, 0.283, 0.429], [0.250, 0.217, 0.929], [0.983, 0.888, 0.791], [0.517, 0.612, 0.291], [0.483, 0.112, 0.209], [0.017, 0.388, 0.709], [0.017, 0.112, 0.209], [0.483, 0.388, 0.709], [0.517, 0.888, 0.791], [0.983, 0.612, 0.291], [0.750, 0.079, 0.675], [0.750, 0.421, 0.175], [0.250, 0.921, 0.325], [0.250, 0.579, 0.825], [0.981, 0.796, 0.507], [0.519, 0.704, 0.007], [0.481, 0.204, 0.493], [0.019, 0.296, 0.993], [0.019, 0.204, 0.493], [0.481, 0.296, 0.993], [0.519, 0.796, 0.507], [0.981, 0.704, 0.007], [0.750, 0.535, 0.524], [0.750, 0.965, 0.024], [0.250, 0.465, 0.476], [0.250, 0.035, 0.976]],
  "sg": "Pnma, No. 62"
}

Number 1: density 4.10 g/cm³, uncorrected formation energy 0.14 eV per atom, DOS at the Fermi energy 4.51 states/eV per cell. Number 2: density 3.07 g/cm³, uncorrected formation energy -2.81 eV per atom, DOS at the Fermi energy 0.00 states/eV per cell. Number 3: density 3.81 g/cm³, uncorrected formation energy -2.00 eV per atom, DOS at the Fermi energy 0.00 states/eV per cell.